This record from Alexandria via LeMat-Bulk describes crystalline NaSn2Te3 at its relaxed geometry. The functional is PBE-GGA.

For the density of states at the Fermi level, the calculation gives 0.34 states/eV per atom. The calculation puts the total magnetization at 0.000 μB per formula unit. The calculation puts the energy above the lowest structure with this stoichiometry at 0.049 eV per atom. As for the space-group type: Pmc2_1, No. 26. Its energy is -3.4989 eV/atom. Its formation energy from raw total energies is -0.37 eV per atom.

Unit cell a=4.203 b=11.826 c=7.772 alpha=90.00 beta=90.00 gamma=90.00
Fractional coordinates of all 12 atoms:
Na 0.000 0.142 0.000
Na 0.000 0.858 0.500
Sn 0.000 0.174 0.489
Sn 0.000 0.826 0.989
Sn 0.500 0.492 0.497
Sn 0.500 0.508 0.997
Te 0.000 0.378 0.719
Te 0.000 0.622 0.219
Te 0.500 0.049 0.697
Te 0.500 0.294 0.238
Te 0.500 0.706 0.738
Te 0.500 0.951 0.197